Entry 1:
A plane-wave DFT calculation with PBE-GGA was carried out for an optimized crystal structure of NpGaTe2.

abc: 3.934 3.934 6.828
angles: 90.00 90.00 90.00
Site moments in Bohr magnetons follow the coordinates.
Sites, in units of the cell vectors:
Np  0.500  0.500  0.000  4.03
Te  0.000  0.000  0.758  -0.08
Te  0.000  0.000  0.242  -0.08
Ga  0.500  0.500  0.500  0.02

Output
* ΔE_f (raw): -390 meV/atom

Entry 2:
A plane-wave DFT calculation with PBE-GGA was carried out for an optimized crystal structure of PmAlGaNi.

abc: 4.683 4.683 4.683
angles: 60.00 60.00 60.00
Sites, in units of the cell vectors:
Ni  0.500  0.500  0.500
Al  0.250  0.250  0.250
Ga  0.000  0.000  0.000
Pm  0.750  0.750  0.750

Output
* formation energy: -0.36 eV/atom

Entry 3:
A plane-wave DFT calculation with PBE-GGA was carried out for an optimized crystal structure of Ba2TmInO5.

abc: 3.592 7.431 11.851
angles: 90.00 90.00 103.99
Sites, in units of the cell vectors:
Ba  0.855  0.709  0.795
Ba  0.101  0.203  0.686
Ba  0.145  0.291  0.295
Ba  0.899  0.797  0.186
Tm  0.782  0.565  0.517
Tm  0.218  0.435  0.017
In  0.526  0.051  0.957
In  0.474  0.949  0.457
O  0.370  0.741  0.998
O  0.684  0.369  0.900
O  0.492  0.984  0.787
O  0.278  0.556  0.639
O  0.943  0.886  0.544
O  0.630  0.259  0.498
O  0.316  0.631  0.400
O  0.508  0.016  0.287
O  0.722  0.444  0.139
O  0.057  0.114  0.044

Output
* ΔE_f (raw): -2558 meV/atom

Entry 4:
A plane-wave DFT calculation with PBE-GGA was carried out for an optimized crystal structure of ZrCd2Se.

abc: 4.950 4.950 4.950
angles: 60.00 60.00 60.00
Sites, in units of the cell vectors:
Cd  0.000  0.000  0.000
Cd  0.250  0.250  0.250
Se  0.500  0.500  0.500
Zr  0.750  0.750  0.750

Output
* ΔE_f (raw): -78 meV/atom

Entry 5:
A plane-wave DFT calculation with PBE-GGA was carried out for an optimized crystal structure of Dy3Sc2Zn2.

abc: 5.100 5.099 8.039
angles: 108.52 90.00 120.01
Sites, in units of the cell vectors:
Dy  0.500  0.000  0.000
Dy  0.657  0.314  0.471
Dy  0.343  0.686  0.529
Sc  0.922  0.844  0.267
Sc  0.078  0.156  0.733
Zn  0.788  0.577  0.865
Zn  0.212  0.423  0.135

Output
* formation energy: -0.11 eV/atom

Entry 6:
A plane-wave DFT calculation with PBE-GGA was carried out for an optimized crystal structure of Pu7SI12.

abc: 9.824 9.824 9.824
angles: 107.43 107.43 107.43
Site moments in Bohr magnetons follow the coordinates.
Sites, in units of the cell vectors:
Pu  0.973  0.686  0.900  -5.68
Pu  0.314  0.100  0.027  -5.68
Pu  0.100  0.027  0.314  -5.68
Pu  0.500  0.500  0.500  -5.63
Pu  0.900  0.973  0.686  -5.68
Pu  0.686  0.900  0.973  -5.68
Pu  0.027  0.314  0.100  -5.68
S  0.000  0.000  0.000  0.14
I  0.923  0.320  0.767  0.05
I  0.680  0.233  0.077  0.05
I  0.461  0.149  0.382  0.05
I  0.851  0.618  0.539  0.05
I  0.233  0.077  0.680  0.05
I  0.618  0.539  0.851  0.05
I  0.382  0.461  0.149  0.05
I  0.767  0.923  0.320  0.05
I  0.149  0.382  0.461  0.05
I  0.539  0.851  0.618  0.05
I  0.320  0.767  0.923  0.05
I  0.077  0.680  0.233  0.05

Output
* ΔE_f (raw): -1103 meV/atom

Entry 7:
A plane-wave DFT calculation with PBE-GGA was carried out for an optimized crystal structure of PmB3Rh6.

abc: 5.492 5.492 6.092
angles: 90.00 116.79 120.00
Sites, in units of the cell vectors:
Pm  0.911  0.955  0.866
B  0.652  0.326  0.978
B  0.321  0.660  0.981
B  0.262  0.131  0.392
Rh  0.299  0.403  0.688
Rh  0.157  0.650  0.239
Rh  0.732  0.082  0.239
Rh  0.285  0.896  0.688
Rh  0.792  0.389  0.688
Rh  0.589  0.507  0.239

Output
* formation energy: -0.40 eV/atom

Entry 8:
A plane-wave DFT calculation with PBE-GGA was carried out for an optimized crystal structure of BiTeOsO2.

abc: 3.984 6.246 3.984
angles: 90.00 90.00 90.00
Sites, in units of the cell vectors:
Te  0.500  0.500  0.500
Os  0.000  0.000  0.000
Bi  0.000  0.500  0.000
O  0.000  0.000  0.500
O  0.500  0.000  0.000

Output
* ΔE_f (raw): -178 meV/atom

Entry 9:
A plane-wave DFT calculation with PBE-GGA was carried out for an optimized crystal structure of Li15Ag2Pt2.

abc: 7.050 7.050 7.050
angles: 70.70 70.70 70.70
Sites, in units of the cell vectors:
Li  0.000  0.500  0.000
Li  0.000  0.000  0.500
Li  0.500  0.000  0.000
Li  0.277  0.000  0.723
Li  0.723  0.277  0.000
Li  0.000  0.723  0.277
Li  0.277  0.723  0.000
Li  0.000  0.277  0.723
Li  0.723  0.000  0.277
Li  0.438  0.815  0.438
Li  0.438  0.438  0.815
Li  0.815  0.438  0.438
Li  0.562  0.185  0.562
Li  0.562  0.562  0.185
Li  0.185  0.562  0.562
Ag  0.718  0.718  0.718
Ag  0.282  0.282  0.282
Pt  0.907  0.907  0.907
Pt  0.093  0.093  0.093

Output
* formation energy: -0.11 eV/atom

Entry 10:
A plane-wave DFT calculation with PBE-GGA was carried out for an optimized crystal structure of TiV2Ru3.

abc: 3.025 3.025 9.164
angles: 90.00 90.00 90.00
Site moments in Bohr magnetons follow the coordinates.
Sites, in units of the cell vectors:
Ti  0.500  0.500  0.500  0.04
V  0.500  0.500  0.835  0.43
V  0.500  0.500  0.165  0.43
Ru  0.000  0.000  0.000  0.03
Ru  0.000  0.000  0.670  -0.04
Ru  0.000  0.000  0.330  -0.04

Output
* formation energy: -0.40 eV/atom

Entry 11:
A plane-wave DFT calculation with PBE-GGA was carried out for an optimized crystal structure of BSb3W.

abc: 5.240 5.240 5.240
angles: 90.00 90.00 90.00
Sites, in units of the cell vectors:
Sb  0.000  0.500  0.000
Sb  0.000  0.000  0.500
Sb  0.500  0.000  0.000
B  0.500  0.500  0.500
W  0.000  0.000  0.000

Output
* ΔE_f (raw): 1502 meV/atom

Entry 12:
A plane-wave DFT calculation with PBE-GGA was carried out for an optimized crystal structure of CaSiN.

abc: 4.847 3.526 5.685
angles: 90.00 98.56 90.00
Sites, in units of the cell vectors:
Ca  0.327  0.000  0.398
Ca  0.839  0.000  0.806
Si  0.346  0.500  0.928
Si  0.761  0.500  0.220
N  0.706  0.500  0.507
N  0.082  0.500  0.118

Output
* ΔE_f (raw): -657 meV/atom

Number 1: calculated total energy -23.8 eV for the cell shown. Number 2: calculated total energy -18.8 eV for the cell shown. Number 3: calculated total energy -117.7 eV for the cell shown. Number 4: calculated total energy -14.2 eV for the cell shown. Number 5: calculated total energy -29.8 eV for the cell shown. Number 6: calculated total energy -145.1 eV for the cell shown. Number 7: calculated total energy -72.9 eV for the cell shown. Number 8: calculated total energy -29.1 eV for the cell shown. Number 9: calculated total energy -48.5 eV for the cell shown. Number 10: calculated total energy -56.4 eV for the cell shown. Number 11: calculated total energy -24.5 eV for the cell shown. Number 12: calculated total energy -35.4 eV for the cell shown.